No. 1
Compound: Sr2ZrBi2
Source: the Alexandria database
Functional: PBE-GGA
Structure: relaxed

```
data_Sr2ZrBi2
_chemical_formula_sum 'Sr4 Zr2 Bi4'
_symmetry_space_group_name_H-M 'P 1'
_symmetry_Int_Tables_number 1
_symmetry_space_group_name_Hall 'P 1'
_cell_length_a 8.221
_cell_length_b 8.221
_cell_length_c 4.920
_cell_angle_alpha 90.00
_cell_angle_beta 90.00
_cell_angle_gamma 90.00
loop_
_atom_site_label
_atom_site_type_symbol
_atom_site_fract_x
_atom_site_fract_y
_atom_site_fract_z
Sr1 Sr 0.158 0.342 0.000
Sr2 Sr 0.342 0.842 0.000
Sr3 Sr 0.658 0.158 0.000
Sr4 Sr 0.842 0.658 0.000
Zr1 Zr 0.000 0.000 0.500
Zr2 Zr 0.500 0.500 0.500
Bi1 Bi 0.155 0.655 0.500
Bi2 Bi 0.345 0.155 0.500
Bi3 Bi 0.655 0.845 0.500
Bi4 Bi 0.845 0.345 0.500
```

Results
- Space group: P4/mbm, No. 127
- Calculated formation energy: -0.48 eV per atom
- Volume: 333 Å³/cell


No. 2
Compound: KCrRu4
Source: the Alexandria database
Functional: PBE-GGA
Structure: relaxed

```
data_KCrRu4
_chemical_formula_sum 'K1 Cr1 Ru4'
_symmetry_space_group_name_H-M 'P 1'
_symmetry_Int_Tables_number 1
_symmetry_space_group_name_Hall 'P 1'
_cell_length_a 5.268
_cell_length_b 5.268
_cell_length_c 5.268
_cell_angle_alpha 60.00
_cell_angle_beta 60.00
_cell_angle_gamma 60.00
loop_
_atom_site_label
_atom_site_type_symbol
_atom_site_fract_x
_atom_site_fract_y
_atom_site_fract_z
K1 K 0.000 0.000 0.000
Cr1 Cr 0.250 0.250 0.250
Ru1 Ru 0.127 0.624 0.624
Ru2 Ru 0.624 0.127 0.624
Ru3 Ru 0.624 0.624 0.127
Ru4 Ru 0.624 0.624 0.624
```

Results
- Space group: F-43m, No. 216
- Calculated formation energy: 0.95 eV per atom
- Volume: 103 Å³/cell


No. 3
Compound: TlHgAsSe2
Source: the Alexandria database
Functional: PBE-GGA
Structure: relaxed

```
data_TlHgAsSe2
_chemical_formula_sum 'Tl1 Hg1 As1 Se2'
_symmetry_space_group_name_H-M 'P 1'
_symmetry_Int_Tables_number 1
_symmetry_space_group_name_Hall 'P 1'
_cell_length_a 5.418
_cell_length_b 5.418
_cell_length_c 5.253
_cell_angle_alpha 90.00
_cell_angle_beta 90.00
_cell_angle_gamma 90.00
loop_
_atom_site_label
_atom_site_type_symbol
_atom_site_fract_x
_atom_site_fract_y
_atom_site_fract_z
Tl1 Tl 0.000 0.000 0.000
Hg1 Hg 0.500 0.500 0.500
As1 As 0.500 0.500 0.000
Se1 Se 0.000 0.500 0.500
Se2 Se 0.500 0.000 0.500
```

Results
- Space group: P4/mmm, No. 123
- E_form (uncorrected): 484 meV per atom
- Volume: 154 Å³/cell
- Energy relative to the lowest polymorph listed for this composition: 0.000 eV/atom


No. 4
Compound: CsSbCl5
Source: the Alexandria database
Functional: PBE-GGA
Structure: relaxed

```
data_CsSbCl5
_chemical_formula_sum 'Cs1 Sb1 Cl5'
_symmetry_space_group_name_H-M 'P 1'
_symmetry_Int_Tables_number 1
_symmetry_space_group_name_Hall 'P 1'
_cell_length_a 8.114
_cell_length_b 8.114
_cell_length_c 8.114
_cell_angle_alpha 142.11
_cell_angle_beta 107.71
_cell_angle_gamma 84.64
loop_
_atom_site_label
_atom_site_type_symbol
_atom_site_fract_x
_atom_site_fract_y
_atom_site_fract_z
Cs1 Cs 0.000 0.000 0.000
Sb1 Sb 0.500 0.500 0.000
Cl1 Cl 0.237 0.500 0.737
Cl2 Cl 0.294 0.294 0.000
Cl3 Cl 0.500 0.000 0.500
Cl4 Cl 0.706 0.706 0.000
Cl5 Cl 0.763 0.500 0.263
```

Results
- Space group: Immm, No. 71
- E_form (uncorrected): -1076 meV per atom
- Volume: 303 Å³/cell
- Energy relative to the lowest polymorph listed for this composition: 0.029 eV/atom


No. 5
Compound: Er5Al2Ge4
Source: the Alexandria database
Functional: PBE-GGA
Structure: relaxed

```
data_Er5Al2Ge4
_chemical_formula_sum 'Er5 Al2 Ge4'
_symmetry_space_group_name_H-M 'P 1'
_symmetry_Int_Tables_number 1
_symmetry_space_group_name_Hall 'P 1'
_cell_length_a 9.651
_cell_length_b 9.651
_cell_length_c 7.227
_cell_angle_alpha 106.69
_cell_angle_beta 106.69
_cell_angle_gamma 24.67
loop_
_atom_site_label
_atom_site_type_symbol
_atom_site_fract_x
_atom_site_fract_y
_atom_site_fract_z
Er1 Er 0.000 0.000 0.000
Er2 Er 0.337 0.337 0.063
Er3 Er 0.343 0.343 0.579
Er4 Er 0.657 0.657 0.421
Er5 Er 0.663 0.663 0.937
Al1 Al 0.074 0.074 0.626
Al2 Al 0.926 0.926 0.374
Ge1 Ge 0.213 0.213 0.713
Ge2 Ge 0.492 0.492 0.285
Ge3 Ge 0.508 0.508 0.715
Ge4 Ge 0.787 0.787 0.287
```

Results
- Space group: C2/m, No. 12
- Calculated formation energy: -0.43 eV per atom
- Volume: 269 Å³/cell


No. 6
Compound: HoTh3Os8
Source: the Alexandria database
Functional: PBE-GGA
Structure: relaxed

```
data_HoTh3Os8
_chemical_formula_sum 'Ho1 Th3 Os8'
_symmetry_space_group_name_H-M 'P 1'
_symmetry_Int_Tables_number 1
_symmetry_space_group_name_Hall 'P 1'
_cell_length_a 9.426
_cell_length_b 9.426
_cell_length_c 9.426
_cell_angle_alpha 33.49
_cell_angle_beta 33.49
_cell_angle_gamma 33.49
loop_
_atom_site_label
_atom_site_type_symbol
_atom_site_fract_x
_atom_site_fract_y
_atom_site_fract_z
Ho1 Ho 0.000 0.000 0.000
Th1 Th 0.124 0.124 0.124
Th2 Th 0.499 0.499 0.499
Th3 Th 0.625 0.625 0.625
Os1 Os 0.059 0.562 0.562
Os2 Os 0.063 0.063 0.565
Os3 Os 0.063 0.565 0.063
Os4 Os 0.313 0.313 0.313
Os5 Os 0.562 0.059 0.562
Os6 Os 0.562 0.562 0.059
Os7 Os 0.565 0.063 0.063
Os8 Os 0.813 0.813 0.813
```

Results
- Space group: R3m, No. 160
- Calculated formation energy: -0.26 eV per atom
- Volume: 227 Å³/cell


No. 7
Compound: Sm3As4Pd7
Source: the Alexandria database
Functional: PBE-GGA
Structure: relaxed

```
data_Sm3As4Pd7
_chemical_formula_sum 'Sm3 As4 Pd7'
_symmetry_space_group_name_H-M 'P 1'
_symmetry_Int_Tables_number 1
_symmetry_space_group_name_Hall 'P 1'
_cell_length_a 8.227
_cell_length_b 8.227
_cell_length_c 9.678
_cell_angle_alpha 124.60
_cell_angle_beta 124.60
_cell_angle_gamma 29.41
loop_
_atom_site_label
_atom_site_type_symbol
_atom_site_fract_x
_atom_site_fract_y
_atom_site_fract_z
Sm1 Sm 0.000 0.000 0.000
Sm2 Sm 0.321 0.321 0.327
Sm3 Sm 0.679 0.679 0.673
As1 As 0.106 0.106 0.823
As2 As 0.340 0.340 0.744
As3 As 0.660 0.660 0.256
As4 As 0.894 0.894 0.177
Pd1 Pd 0.000 0.000 0.500
Pd2 Pd 0.164 0.164 0.423
Pd3 Pd 0.306 0.306 0.974
Pd4 Pd 0.489 0.489 0.710
Pd5 Pd 0.511 0.511 0.290
Pd6 Pd 0.694 0.694 0.026
Pd7 Pd 0.836 0.836 0.577
```

Results
- Space group: C2/m, No. 12
- Calculated formation energy: -0.92 eV per atom
- Volume: 260 Å³/cell


No. 8
Compound: HoBiPb
Source: the Alexandria database
Functional: PBE-GGA
Structure: relaxed

```
data_HoBiPb
_chemical_formula_sum 'Ho1 Bi1 Pb1'
_symmetry_space_group_name_H-M 'P 1'
_symmetry_Int_Tables_number 1
_symmetry_space_group_name_Hall 'P 1'
_cell_length_a 6.009
_cell_length_b 6.009
_cell_length_c 6.009
_cell_angle_alpha 140.08
_cell_angle_beta 140.08
_cell_angle_gamma 57.73
loop_
_atom_site_label
_atom_site_type_symbol
_atom_site_fract_x
_atom_site_fract_y
_atom_site_fract_z
Ho1 Ho 0.000 0.000 0.000
Bi1 Bi 0.645 0.645 0.000
Pb1 Pb 0.333 0.333 0.000
```

Results
- Space group: I4mm, No. 107
- Calculated formation energy: -0.34 eV per atom
- Volume: 89 Å³/cell
- Energy relative to the lowest polymorph listed for this composition: 0.000 eV/atom


No. 9
Compound: TlTcBr2
Source: the Alexandria database
Functional: PBE-GGA
Structure: relaxed

```
data_TlTcBr2
_chemical_formula_sum 'Tl1 Tc1 Br2'
_symmetry_space_group_name_H-M 'P 1'
_symmetry_Int_Tables_number 1
_symmetry_space_group_name_Hall 'P 1'
_cell_length_a 7.537
_cell_length_b 7.537
_cell_length_c 7.537
_cell_angle_alpha 153.36
_cell_angle_beta 143.43
_cell_angle_gamma 45.81
loop_
_atom_site_label
_atom_site_type_symbol
_atom_site_fract_x
_atom_site_fract_y
_atom_site_fract_z
Tl1 Tl 0.000 0.000 0.000
Tc1 Tc 0.797 0.297 0.500
Br1 Br 0.339 0.839 0.500
Br2 Br 0.639 0.639 0.000
```

Results
- Space group: Imm2, No. 44
- E_form (uncorrected): 277 meV per atom
- Volume: 114 Å³/cell
- Energy relative to the lowest polymorph listed for this composition: 0.244 eV/atom


No. 10
Compound: TbSm7Th2
Source: the Alexandria database
Functional: PBE-GGA
Structure: relaxed

```
data_TbSm7Th2
_chemical_formula_sum 'Tb1 Sm7 Th2'
_symmetry_space_group_name_H-M 'P 1'
_symmetry_Int_Tables_number 1
_symmetry_space_group_name_Hall 'P 1'
_cell_length_a 9.452
_cell_length_b 9.452
_cell_length_c 5.598
_cell_angle_alpha 90.00
_cell_angle_beta 90.00
_cell_angle_gamma 124.43
loop_
_atom_site_label
_atom_site_type_symbol
_atom_site_fract_x
_atom_site_fract_y
_atom_site_fract_z
Tb1 Tb 0.000 0.000 0.000
Sm1 Sm 0.066 0.289 0.500
Sm2 Sm 0.215 0.785 0.000
Sm3 Sm 0.289 0.066 0.500
Sm4 Sm 0.500 0.500 0.500
Sm5 Sm 0.711 0.934 0.500
Sm6 Sm 0.785 0.215 0.000
Sm7 Sm 0.934 0.711 0.500
Th1 Th 0.296 0.704 0.500
Th2 Th 0.704 0.296 0.500
```

Results
- Space group: Cmmm, No. 65
- Calculated formation energy: 0.73 eV per atom
- Volume: 413 Å³/cell


No. 11
Compound: La3Ru
Source: the Alexandria database
Functional: PBE-GGA
Structure: relaxed

```
data_La3Ru
_chemical_formula_sum 'La3 Ru1'
_symmetry_space_group_name_H-M 'P 1'
_symmetry_Int_Tables_number 1
_symmetry_space_group_name_Hall 'P 1'
_cell_length_a 6.395
_cell_length_b 6.395
_cell_length_c 6.395
_cell_angle_alpha 144.79
_cell_angle_beta 125.50
_cell_angle_gamma 66.56
loop_
_atom_site_label
_atom_site_type_symbol
_atom_site_fract_x
_atom_site_fract_y
_atom_site_fract_z
La1 La 0.000 0.000 0.000
La2 La 0.311 0.811 0.500
La3 La 0.689 0.189 0.500
Ru1 Ru 0.500 0.500 0.000
```

Results
- Space group: Immm, No. 71
- Calculated formation energy: -0.13 eV per atom
- Volume: 121 Å³/cell


No. 12
Compound: CePr2Cd5
Source: the Alexandria database
Functional: PBE-GGA
Structure: relaxed

```
data_CePr2Cd5
_chemical_formula_sum 'Ce1 Pr2 Cd5'
_symmetry_space_group_name_H-M 'P 1'
_symmetry_Int_Tables_number 1
_symmetry_space_group_name_Hall 'P 1'
_cell_length_a 8.609
_cell_length_b 8.609
_cell_length_c 8.609
_cell_angle_alpha 144.40
_cell_angle_beta 144.40
_cell_angle_gamma 51.22
loop_
_atom_site_label
_atom_site_type_symbol
_atom_site_fract_x
_atom_site_fract_y
_atom_site_fract_z
Ce1 Ce 0.000 0.000 0.000
Pr1 Pr 0.266 0.266 0.000
Pr2 Pr 0.734 0.734 0.000
Cd1 Cd 0.116 0.616 0.500
Cd2 Cd 0.384 0.884 0.500
Cd3 Cd 0.500 0.500 0.000
Cd4 Cd 0.616 0.116 0.500
Cd5 Cd 0.884 0.384 0.500
```

Results
- Space group: I4/mmm, No. 139
- Calculated formation energy: -0.26 eV per atom
- Volume: 215 Å³/cell


No. 13
Compound: NdY5Er2
Source: the Alexandria database
Functional: PBE-GGA
Structure: relaxed

```
data_NdY5Er2
_chemical_formula_sum 'Nd2 Y10 Er4'
_symmetry_space_group_name_H-M 'P 1'
_symmetry_Int_Tables_number 1
_symmetry_space_group_name_Hall 'P 1'
_cell_length_a 8.688
_cell_length_b 8.688
_cell_length_c 11.465
_cell_angle_alpha 90.10
_cell_angle_beta 90.10
_cell_angle_gamma 38.04
loop_
_atom_site_label
_atom_site_type_symbol
_atom_site_fract_x
_atom_site_fract_y
_atom_site_fract_z
Nd1 Nd 0.227 0.227 0.250
Nd2 Nd 0.773 0.773 0.750
Y1 Y 0.043 0.043 0.387
Y2 Y 0.045 0.045 0.111
Y3 Y 0.395 0.395 0.750
Y4 Y 0.412 0.412 0.080
Y5 Y 0.412 0.412 0.422
Y6 Y 0.588 0.588 0.578
Y7 Y 0.588 0.588 0.920
Y8 Y 0.605 0.605 0.250
Y9 Y 0.955 0.955 0.889
Y10 Y 0.957 0.957 0.613
Er1 Er 0.213 0.213 0.580
Er2 Er 0.214 0.214 0.920
Er3 Er 0.786 0.786 0.080
Er4 Er 0.787 0.787 0.420
```

Results
- Space group: C2/m, No. 12
- Calculated formation energy: 0.15 eV per atom
- Volume: 533 Å³/cell
- Energy relative to the lowest polymorph listed for this composition: 0.128 eV/atom